{
  "formula": "Cd2CoPN",
  "functional": "GGA-PBE",
  "state": "optimized geometry",
  "lattice_angstrom": [[4.888, 0.000, 0.000], [0.000, 4.888, 0.000], [0.000, 0.000, 3.470]],
  "species": ["Cd", "Cd", "Co", "P", "N"],
  "fractional_positions": [[0.000, 0.500, 0.000], [0.500, 0.000, 0.000], [0.000, 0.000, 0.500], [0.500, 0.500, 0.500], [0.000, 0.000, 0.000]],
  "m_tot_mub_per_cell": 0.0,
  "volume_a3_per_atom": 16.579,
  "raw_formation_energy_kcal_per_mol_atoms": 10.5
}


{
  "formula": "CdCoRu2N",
  "functional": "GGA-PBE",
  "state": "optimized geometry",
  "lattice_angstrom": [[4.089, 0.000, 0.000], [0.000, 4.089, 0.000], [0.000, 0.000, 3.865]],
  "species": ["Cd", "Co", "Ru", "Ru", "N"],
  "fractional_positions": [[0.000, 0.000, 0.000], [0.500, 0.500, 0.000], [0.000, 0.500, 0.500], [0.500, 0.000, 0.500], [0.500, 0.500, 0.500]],
  "m_tot_mub_per_cell": 0.0,
  "volume_a3_per_atom": 12.927,
  "raw_formation_energy_kcal_per_mol_atoms": 4.7
}


{
  "formula": "CdCo2RuN",
  "functional": "GGA-PBE",
  "state": "optimized geometry",
  "lattice_angstrom": [[3.912, 0.000, 0.000], [0.000, 3.912, 0.000], [0.000, 0.000, 4.002]],
  "species": ["Cd", "Co", "Co", "Ru", "N"],
  "fractional_positions": [[0.000, 0.000, 0.000], [0.000, 0.500, 0.500], [0.500, 0.000, 0.500], [0.500, 0.500, 0.000], [0.500, 0.500, 0.500]],
  "m_tot_mub_per_cell": 1.9,
  "volume_a3_per_atom": 12.251,
  "raw_formation_energy_kcal_per_mol_atoms": 2.8
}


{
  "formula": "CdCoS2N",
  "functional": "GGA-PBE",
  "state": "optimized geometry",
  "lattice_angstrom": [[5.025, 0.000, 0.000], [0.000, 5.025, 0.000], [0.000, 0.000, 4.041]],
  "species": ["Cd", "Co", "S", "S", "N"],
  "fractional_positions": [[0.000, 0.000, 0.000], [0.500, 0.500, 0.500], [0.000, 0.500, 0.000], [0.500, 0.000, 0.000], [0.000, 0.000, 0.500]],
  "polymorph_energy_ev_per_atom": 1.395,
  "m_tot_mub_per_cell": 2.8,
  "volume_a3_per_atom": 20.409,
  "raw_formation_energy_kcal_per_mol_atoms": 39.1
}


{
  "formula": "CdCoS2N",
  "functional": "GGA-PBE",
  "state": "optimized geometry",
  "lattice_angstrom": [[4.814, 0.000, 0.000], [0.000, 4.814, 0.000], [0.000, 0.000, 3.391]],
  "species": ["Cd", "Co", "S", "S", "N"],
  "fractional_positions": [[0.000, 0.000, 0.000], [0.500, 0.500, 0.500], [0.000, 0.500, 0.500], [0.500, 0.000, 0.500], [0.500, 0.500, 0.000]],
  "polymorph_energy_ev_per_atom": 0.000,
  "m_tot_mub_per_cell": 0.0,
  "volume_a3_per_atom": 15.722,
  "raw_formation_energy_kcal_per_mol_atoms": 6.9
}


{
  "formula": "CdCoSeN2",
  "functional": "GGA-PBE",
  "state": "optimized geometry",
  "lattice_angstrom": [[4.129, 0.000, 0.000], [0.000, 4.129, 0.000], [0.000, 0.000, 5.864]],
  "species": ["Cd", "Co", "Se", "N", "N"],
  "fractional_positions": [[0.000, 0.000, 0.000], [0.500, 0.500, 0.500], [0.000, 0.000, 0.500], [0.000, 0.500, 0.000], [0.500, 0.000, 0.000]],
  "polymorph_energy_ev_per_atom": 1.135,
  "m_tot_mub_per_cell": 6.0,
  "volume_a3_per_atom": 19.999,
  "raw_formation_energy_kcal_per_mol_atoms": 46.7
}